# 1
Material: Tl2SiTe
Method: DFT, PBE
State: relaxed

Properties
energy above the lowest structure with this stoichiometry: 0.70 eV/f.u.
theoretical density: 8.46 g cm⁻³
size of the total moment: 0.00 μB/f.u.
energy relative to the elements, uncorrected: 0.30 eV per atom
E: -3.022 eV per atom

Unit cell a=3.2760 b=3.2760 c=10.3292 alpha=90.00 beta=90.00 gamma=90.00
With the nearest neighbours (Å) after each atom.
Space group P4/mmm (No. 123)
Asymmetric unit:
Tl: 0.0000 0.0000 0.2155  4 Si 3.21, 4 Tl 3.28
Si: 0.5000 0.5000 0.0000  8 Tl 3.21, 4 Si 3.28
Te: 0.5000 0.5000 0.5000  4 Te 3.28

***

# 2
Material: Tl7SiTe6
Method: DFT, PBE
State: relaxed

Properties
theoretical density: 6.89 g cm⁻³
size of the total moment: 0.00 μB/f.u.
energy relative to the elements, uncorrected: -0.21 eV per atom
E: -3.127 eV per atom

Unit cell a=7.9998 b=14.5117 c=18.4823 alpha=90.00 beta=90.00 gamma=90.00
With the nearest neighbours (Å) after each atom.
Space group Ibam (No. 72)
Asymmetric unit:
Tl: 0.0000 0.0000 0.2500  4 Te 3.24
Tl: 0.1940 0.3104 0.1179  4 Te 3.28-3.46, 1 Tl 3.66
Tl: 0.2273 0.4881 0.5000  3 Te 3.15-3.39
Si: 0.0000 0.5000 0.2500  4 Te 2.55
Te: 0.0116 0.1746 0.0000  5 Tl 3.15-3.35
Te: 0.1878 0.4016 0.3302  1 Si 2.55

***

# 3
Material: TlSiTe2
Method: DFT, PBE
State: relaxed

Properties
theoretical density: 7.22 g cm⁻³
size of the total moment: 0.00 μB/f.u.
energy relative to the elements, uncorrected: 0.24 eV per atom
E: -3.280 eV per atom

Unit cell a=4.1608 b=5.7916 c=9.3041 alpha=90.00 beta=90.00 gamma=90.00
With the nearest neighbours (Å) after each atom.
Space group Cmmm (No. 65)
Asymmetric unit:
Tl: 0.0000 0.0000 0.0000  4 Te 3.45, 4 Tl 3.57
Si: 0.0000 0.0000 0.5000  4 Te 2.82
Te: 0.0000 0.5000 0.2956  2 Si 2.82

***

# 4
Material: Tl2SiTe
Method: DFT, PBE
State: relaxed

Properties
energy above the lowest structure with this stoichiometry: 0.71 eV/f.u.
theoretical density: 8.33 g cm⁻³
size of the total moment: 0.00 μB/f.u.
energy relative to the elements, uncorrected: 0.31 eV per atom
E: -3.019 eV per atom

Unit cell a=6.6008 b=10.6401 c=3.2053 alpha=90.00 beta=90.17 gamma=90.00
With the nearest neighbours (Å) after each atom.
Space group C2/m (No. 12)
Asymmetric unit:
Tl: 0.2500 0.2500 0.0000  4 Tl 3.21-3.30, 4 Si 3.51-3.52, 4 Te 3.51-3.52
Si: 0.0000 0.0000 0.5000  2 Si 3.21, 2 Te 3.30, 8 Tl 3.51-3.52
Te: 0.0000 0.5000 0.5000  2 Te 3.21, 2 Si 3.30, 8 Tl 3.51-3.52

***

# 5
Material: Tl5Si2Te6
Method: DFT, PBE
State: relaxed

Properties
theoretical density: 6.49 g cm⁻³
size of the total moment: 0.00 μB/f.u.
energy relative to the elements, uncorrected: -0.18 eV per atom
E: -3.379 eV per atom

Unit cell a=13.3857 b=15.6122 c=4.5170 alpha=90.00 beta=90.00 gamma=90.00
With the nearest neighbours (Å) after each atom.
Space group Pbam (No. 55)
Asymmetric unit:
Tl: 0.0000 0.0000 0.0000  2 Tl 3.30, 4 Te 3.46
Tl: 0.0200 0.2109 0.0000  4 Te 3.23-3.58, 1 Tl 3.30
Tl: 0.1419 0.4938 0.0000  5 Te 3.39-3.65
Si: 0.2131 0.6935 0.5000  4 Te 2.55-2.67
Te: 0.0304 0.6474 0.5000  1 Si 2.55
Te: 0.1843 0.0562 0.5000  1 Si 2.55
Te: 0.2476 0.7801 0.0000  2 Si 2.67

***

# 6
Material: TlSiTe4
Method: DFT, PBE
State: relaxed

Properties
energy above the lowest structure with this stoichiometry: 0.11 eV/f.u.
theoretical density: 6.22 g cm⁻³
size of the total moment: 0.00 μB/f.u.
energy relative to the elements, uncorrected: 0.00 eV per atom
E: -3.390 eV per atom

Unit cell a=6.5640 b=6.8812 c=9.4245 alpha=106.47 beta=97.00 gamma=99.31
With the nearest neighbours (Å) after each atom.
Space group P-1 (No. 2)
Asymmetric unit:
Tl: 0.1868 0.2329 0.4433  5 Te 3.38-3.72
Si: 0.0000 0.5000 0.0000  6 Te 2.66-2.84
Si: 0.5000 0.0000 0.0000  6 Te 2.71-2.76
Te: 0.1613 0.1751 0.0732  2 Si 2.76-2.84, 1 Te 2.82
Te: 0.1898 0.7108 0.2906  1 Si 2.74, 1 Te 2.82
Te: 0.2998 0.6029 0.8523  2 Si 2.66-2.71
Te: 0.4392 0.0204 0.7138  1 Si 2.73, 1 Te 2.82

***

# 7
Material: Tl2SiTe3
Method: DFT, PBE
State: relaxed

Properties
theoretical density: 5.71 g cm⁻³
size of the total moment: 0.00 μB/f.u.
energy relative to the elements, uncorrected: -0.18 eV per atom
E: -3.439 eV per atom

Unit cell a=7.3001 b=16.0023 c=16.3540 alpha=90.00 beta=92.97 gamma=90.00
With the nearest neighbours (Å) after each atom.
Space group C2/c (No. 15)
Asymmetric unit:
Tl: 0.2332 0.0457 0.0641  4 Te 3.36-3.70
Tl: 0.2358 0.3111 0.3389  3 Te 3.28-3.53
Si: 0.2352 0.0322 0.3358  4 Te 2.50-2.61
Te: 0.0000 0.1210 0.2500  2 Si 2.59
Te: 0.0000 0.4752 0.2500  2 Si 2.61
Te: 0.1511 0.1146 0.8719  1 Si 2.51
Te: 0.1562 0.3731 0.5504  1 Si 2.50

***

# 8
Material: TlSiTe2
Method: DFT, PBE
State: relaxed

Properties
theoretical density: 5.85 g cm⁻³
size of the total moment: 0.00 μB/f.u.
energy relative to the elements, uncorrected: 0.12 eV per atom
E: -3.397 eV per atom

Unit cell a=3.2055 b=5.3216 c=8.1172 alpha=90.00 beta=90.00 gamma=90.00
With the nearest neighbours (Å) after each atom.
Space group Pmm2 (No. 25)
Asymmetric unit:
Tl: 0.0000 0.0000 0.0000  2 Tl 3.21, 6 Te 3.48-3.58
Si: 0.5000 0.5000 0.4866  3 Te 2.59-2.76
Te: 0.5000 0.0000 0.3943  2 Si 2.76
Te: 0.5000 0.5000 0.8058  1 Si 2.59

***

# 9
Material: TlSiTe3
Method: DFT, PBE
State: relaxed

Properties
theoretical density: 5.93 g cm⁻³
size of the total moment: 0.00 μB/f.u.
energy relative to the elements, uncorrected: -0.11 eV per atom
E: -3.557 eV per atom

Unit cell a=9.5592 b=6.2851 c=14.9226 alpha=90.00 beta=129.72 gamma=90.00
With the nearest neighbours (Å) after each atom.
Space group P2_1/c (No. 14)
Asymmetric unit:
Tl: 0.2339 0.2287 0.3110  7 Te 3.38-3.78
Si: 0.1991 0.6003 0.0415  4 Te 2.49-2.58
Te: 0.0590 0.2262 0.9726  2 Si 2.57-2.58
Te: 0.2769 0.7448 0.4249  1 Si 2.49
Te: 0.4811 0.5789 0.2589  1 Si 2.58

***

# 10
Material: TlSiTe2
Method: DFT, PBE
State: relaxed

Properties
theoretical density: 6.58 g cm⁻³
size of the total moment: 0.00 μB/f.u.
energy relative to the elements, uncorrected: 0.11 eV per atom
E: -3.407 eV per atom

Unit cell a=3.6343 b=4.1892 c=16.1609 alpha=90.00 beta=90.00 gamma=90.00
With the nearest neighbours (Å) after each atom.
Space group Imm2 (No. 44)
Asymmetric unit:
Tl: 0.0000 0.0000 0.0000  6 Te 3.40-3.58, 2 Tl 3.63
Si: 0.0000 0.5000 0.2491  6 Te 2.74-3.00
Te: 0.0000 0.0000 0.6219  2 Si 2.74
Te: 0.0000 0.5000 0.8204  4 Si 3.00

***

# 11
Material: TlSi2Te
Method: DFT, PBE
State: relaxed

Properties
energy above the lowest structure with this stoichiometry: 0.00 eV/f.u.
theoretical density: 6.15 g cm⁻³
size of the total moment: 0.00 μB/f.u.
energy relative to the elements, uncorrected: 0.27 eV per atom
E: -3.819 eV per atom

Unit cell a=3.2967 b=3.2967 c=9.6450 alpha=90.00 beta=90.00 gamma=90.00
With the nearest neighbours (Å) after each atom.
Space group P4mm (No. 99)
Asymmetric unit:
Tl: 0.0000 0.0000 0.0000  1 Si 2.94
Si: 0.0000 0.0000 0.3048  4 Si 2.46
Si: 0.5000 0.5000 0.3855  4 Si 2.46, 1 Te 2.62
Te: 0.5000 0.5000 0.6571  1 Si 2.62

***

# 12
Material: TlSiTe2
Method: DFT, PBE
State: relaxed

Properties
theoretical density: 5.88 g cm⁻³
size of the total moment: 0.00 μB/f.u.
energy relative to the elements, uncorrected: 0.02 eV per atom
E: -3.494 eV per atom

Unit cell a=3.9337 b=3.9337 c=8.8989 alpha=90.00 beta=90.00 gamma=90.00
With the nearest neighbours (Å) after each atom.
Space group P4mm (No. 99)
Asymmetric unit:
Tl: 0.0000 0.0000 0.0000  4 Te 3.26
Si: 0.5000 0.5000 0.5246  1 Te 2.54
Te: 0.0000 0.0000 0.4467  4 Si 2.87
Te: 0.5000 0.5000 0.8095  1 Si 2.54